Entry 1:
VASP calculation (GGA-PBE) on crystalline Ta2V2Fe at its relaxed geometry.

Unit cell a=6.0133 b=6.0133 c=4.2200 alpha=90.00 beta=90.00 gamma=90.00
Positions (direct):
Ta1 0.1733 0.3267 0.0000
Ta2 0.3267 0.8267 0.0000
Ta3 0.6733 0.1733 0.0000
Ta4 0.8267 0.6733 0.0000
V1 0.1465 0.6465 0.5000
V2 0.3535 0.1465 0.5000
V3 0.6465 0.8535 0.5000
V4 0.8535 0.3535 0.5000
Fe1 0.0000 0.0000 0.5000
Fe2 0.5000 0.5000 0.5000

Summary:
The energy of formation is 187.4 meV per atom. As for the density of states at the Fermi level: 4.94 states/eV/f.u. As for the energy above the most stable polymorph in this dataset: 0 meV/atom.

Entry 2:
VASP calculation (GGA-PBE) on crystalline B2C at its relaxed geometry.

Unit cell a=2.7112 b=2.7112 c=15.2892 alpha=90.00 beta=90.00 gamma=120.00
Positions (direct):
B1 0.0000 0.0000 0.0000
B2 0.0000 0.0000 0.1111
B3 0.0000 0.0000 0.4669
B4 0.3333 0.6667 0.1762
B5 0.3333 0.6667 0.5775
B6 0.3333 0.6667 0.8424
B7 0.6667 0.3333 0.2917
B8 0.6667 0.3333 0.4089
C1 0.0000 0.0000 0.5704
C2 0.3333 0.6667 0.2803
C3 0.6667 0.3333 0.8543
C4 0.6667 0.3333 0.9566

Summary:
The energy of formation is 460.7 meV per atom. As for the density of states at the Fermi level: 0.79 states/eV/f.u. As for the energy above the most stable polymorph in this dataset: 275 meV/atom.

Entry 3:
VASP calculation (GGA-PBE) on crystalline Pm2NdCd2Sn2 at its relaxed geometry.

Unit cell a=9.5936 b=9.5936 c=9.5936 alpha=30.17 beta=30.17 gamma=30.17
Positions (direct):
Pm1 0.1323 0.1323 0.1323
Pm2 0.8677 0.8677 0.8677
Nd1 0.0000 0.0000 0.0000
Cd1 0.4192 0.4192 0.4192
Cd2 0.5808 0.5808 0.5808
Sn1 0.2675 0.2675 0.2675
Sn2 0.7325 0.7325 0.7325

Summary:
The energy of formation is -342.0 meV per atom. As for the density of states at the Fermi level: 6.02 states/eV/f.u.

Entry 4:
VASP calculation (GGA-PBE) on crystalline Tb4SmY5 at its relaxed geometry.

Unit cell a=8.8604 b=8.8604 c=10.9309 alpha=90.01 beta=90.01 gamma=23.12
Positions (direct):
Tb1 0.0261 0.0261 0.2495
Tb2 0.3491 0.3491 0.2502
Tb3 0.6509 0.6509 0.7498
Tb4 0.9739 0.9739 0.7505
Sm1 0.5000 0.5000 0.5000
Y1 0.1739 0.1739 0.0555
Y2 0.1743 0.1743 0.4429
Y3 0.5000 0.5000 0.0000
Y4 0.8257 0.8257 0.5571
Y5 0.8261 0.8261 0.9445

Summary:
The energy of formation is 185.6 meV per atom. As for the density of states at the Fermi level: 14.03 states/eV/f.u. As for the energy above the most stable polymorph in this dataset: 0 meV/atom.

Entry 5:
VASP calculation (GGA-PBE) on crystalline LiPrSn4 at its relaxed geometry.

Unit cell a=6.1962 b=6.1962 c=6.1962 alpha=60.00 beta=60.00 gamma=60.00
Positions (direct):
Li1 0.0000 0.0000 0.0000
Pr1 0.7500 0.7500 0.7500
Sn1 0.3748 0.3748 0.3748
Sn2 0.3748 0.3748 0.8755
Sn3 0.3748 0.8755 0.3748
Sn4 0.8755 0.3748 0.3748

Summary:
The energy of formation is -278.2 meV per atom.

Entry 6:
VASP calculation (GGA-PBE) on crystalline HfZnB2 at its relaxed geometry.

Unit cell a=3.9283 b=3.9283 c=13.5270 alpha=90.00 beta=90.00 gamma=90.00
Positions (direct):
Hf1 0.0000 0.0000 0.0000
Hf2 0.0000 0.5000 0.2500
Hf3 0.5000 0.0000 0.7500
Hf4 0.5000 0.5000 0.5000
Zn1 0.0000 0.0000 0.5000
Zn2 0.0000 0.5000 0.7500
Zn3 0.5000 0.0000 0.2500
Zn4 0.5000 0.5000 0.0000
B1 0.1069 0.2500 0.6250
B2 0.2500 0.6069 0.8750
B3 0.2500 0.8931 0.3750
B4 0.3931 0.2500 0.1250
B5 0.6069 0.7500 0.1250
B6 0.7500 0.1069 0.3750
B7 0.7500 0.3931 0.8750
B8 0.8931 0.7500 0.6250

Summary:
The energy of formation is 417.1 meV per atom. As for the density of states at the Fermi level: 0.05 states/eV/f.u.

Entry 7:
VASP calculation (GGA-PBE) on crystalline DyHoTe2 at its relaxed geometry.

Unit cell a=4.3545 b=4.3545 c=21.1608 alpha=90.00 beta=90.00 gamma=120.00
Positions (direct):
Dy1 0.0000 0.0000 0.0000
Dy2 0.3333 0.6667 0.6667
Dy3 0.6667 0.3333 0.3333
Ho1 0.0000 0.0000 0.5000
Ho2 0.3333 0.6667 0.1667
Ho3 0.6667 0.3333 0.8333
Te1 0.0000 0.0000 0.2495
Te2 0.0000 0.0000 0.7505
Te3 0.3333 0.6667 0.4172
Te4 0.3333 0.6667 0.9161
Te5 0.6667 0.3333 0.0839
Te6 0.6667 0.3333 0.5828

Summary:
As for the density of states at the Fermi level: 2.23 states/eV/f.u. The formation energy (no corrections) is -29.10 kcal/mol of atoms. As for the energy above the most stable polymorph in this dataset: 29 meV/atom.

Entry 8:
VASP calculation (GGA-PBE) on crystalline MnAgAu at its relaxed geometry.

Unit cell a=14.2226 b=2.8928 c=4.8325 alpha=90.00 beta=102.45 gamma=90.00
Positions (direct):
Mn1 0.2392 0.0000 0.3435
Mn2 0.2608 0.5000 0.6565
Mn3 0.7392 0.5000 0.3435
Mn4 0.7608 0.0000 0.6565
Ag1 0.0640 0.5000 0.2851
Ag2 0.4360 0.0000 0.7149
Ag3 0.5640 0.0000 0.2851
Ag4 0.9360 0.5000 0.7149
Au1 0.1234 0.0000 0.8255
Au2 0.3766 0.5000 0.1745
Au3 0.6234 0.5000 0.8255
Au4 0.8766 0.0000 0.1745

Summary:
The energy of formation is 293.3 meV per atom. As for the density of states at the Fermi level: 2.59 states/eV/f.u. As for the energy above the most stable polymorph in this dataset: 276 meV/atom.

Entry 9:
VASP calculation (GGA-PBE) on crystalline ScWSe2 at its relaxed geometry.

Unit cell a=3.6651 b=3.6651 c=11.4971 alpha=90.00 beta=90.00 gamma=90.00
Positions (direct):
Sc1 0.0000 0.0000 0.0000
Sc2 0.5000 0.5000 0.5000
W1 0.0000 0.5000 0.2500
W2 0.5000 0.0000 0.7500
Se1 0.0000 0.0000 0.5000
Se2 0.0000 0.5000 0.7500
Se3 0.5000 0.0000 0.2500
Se4 0.5000 0.5000 0.0000

Summary:
As for the density of states at the Fermi level: 4.16 states/eV/f.u. The formation energy (no corrections) is -0.47 kcal/mol of atoms. As for the energy above the most stable polymorph in this dataset: 547 meV/atom.

Entry 10:
VASP calculation (GGA-PBE) on crystalline Tb2CePm6Tm at its relaxed geometry.

Unit cell a=8.8435 b=8.8435 c=9.7548 alpha=94.57 beta=94.57 gamma=117.35
Positions (direct):
Tb1 0.1906 0.2877 0.0456
Tb2 0.2877 0.1906 0.5456
Tb3 0.7123 0.8094 0.4544
Tb4 0.8094 0.7123 0.9544
Ce1 0.4086 0.5914 0.7500
Ce2 0.5914 0.4086 0.2500
Pm1 0.0114 0.5708 0.1898
Pm2 0.1169 0.7531 0.5561
Pm3 0.2469 0.8831 0.9439
Pm4 0.2971 0.5047 0.3798
Pm5 0.4292 0.9886 0.3102
Pm6 0.4953 0.7029 0.1202
Pm7 0.5047 0.2971 0.8798
Pm8 0.5708 0.0114 0.6898
Pm9 0.7029 0.4953 0.6202
Pm10 0.7531 0.1169 0.0561
Pm11 0.8831 0.2469 0.4439
Pm12 0.9886 0.4292 0.8102
Tm1 0.0240 0.9760 0.2500
Tm2 0.9760 0.0240 0.7500

Summary:
The energy of formation is 150.5 meV per atom. As for the density of states at the Fermi level: 19.01 states/eV/f.u.

Entry 11:
VASP calculation (GGA-PBE) on crystalline Cu3MoOs at its relaxed geometry.

Unit cell a=4.5810 b=4.5810 c=4.5810 alpha=90.00 beta=90.00 gamma=90.00
Positions (direct):
Cu1 0.0000 0.0000 0.5000
Cu2 0.0000 0.5000 0.0000
Cu3 0.5000 0.0000 0.0000
Mo1 0.5000 0.5000 0.5000
Os1 0.0000 0.0000 0.0000

Summary:
The energy of formation is 1759.0 meV per atom. As for the density of states at the Fermi level: 4.40 states/eV/f.u. As for the energy above the most stable polymorph in this dataset: 0 meV/atom.

Entry 12:
VASP calculation (GGA-PBE) on crystalline ZnFeMo2 at its relaxed geometry.

Unit cell a=3.2409 b=4.1453 c=8.5901 alpha=90.00 beta=90.00 gamma=90.00
Positions (direct):
Zn1 0.0000 0.0000 0.0000
Zn2 0.5000 0.5000 0.0000
Fe1 0.0000 0.0000 0.5000
Fe2 0.5000 0.5000 0.5000
Mo1 0.0000 0.5000 0.2585
Mo2 0.0000 0.5000 0.7415
Mo3 0.5000 0.0000 0.2585
Mo4 0.5000 0.0000 0.7415

Summary:
The energy of formation is 123.3 meV per atom. As for the density of states at the Fermi level: 2.22 states/eV/f.u.

Entry 13:
VASP calculation (GGA-PBE) on crystalline ScP3Pb at its relaxed geometry.

Unit cell a=5.0808 b=5.0808 c=5.0808 alpha=90.00 beta=90.00 gamma=90.00
Positions (direct):
Sc1 0.0000 0.0000 0.0000
P1 0.0000 0.5000 0.5000
P2 0.5000 0.0000 0.5000
P3 0.5000 0.5000 0.0000
Pb1 0.5000 0.5000 0.5000

Summary:
The energy of formation is 1001.5 meV per atom. As for the density of states at the Fermi level: 4.86 states/eV/f.u. As for the energy above the most stable polymorph in this dataset: 782 meV/atom.

Entry 14:
VASP calculation (GGA-PBE) on crystalline Li4Al3Ag4 at its relaxed geometry.

Unit cell a=2.8358 b=4.0545 c=15.6992 alpha=97.36 beta=95.13 gamma=90.13
Positions (direct):
Li1 0.0895 0.0901 0.1805
Li2 0.2736 0.2734 0.5467
Li3 0.7264 0.7266 0.4533
Li4 0.9105 0.9099 0.8195
Al1 0.0000 0.0000 0.0000
Al2 0.3632 0.3631 0.7252
Al3 0.6368 0.6369 0.2748
Ag1 0.1795 0.1790 0.3594
Ag2 0.4523 0.4529 0.9049
Ag3 0.5477 0.5471 0.0951
Ag4 0.8205 0.8210 0.6406

Summary:
The energy of formation is -169.6 meV per atom. As for the density of states at the Fermi level: 2.82 states/eV/f.u. As for the energy above the most stable polymorph in this dataset: 0 meV/atom.

Entry 15:
VASP calculation (GGA-PBE) on crystalline LiPd2Au3 at its relaxed geometry.

Unit cell a=7.5077 b=7.5077 c=4.9647 alpha=90.77 beta=90.77 gamma=44.45
Positions (direct):
Li1 0.1395 0.8605 0.7500
Li2 0.8605 0.1395 0.2500
Pd1 0.2110 0.4591 0.9176
Pd2 0.4591 0.2110 0.4176
Pd3 0.5409 0.7890 0.5824
Pd4 0.7890 0.5409 0.0824
Au1 0.0411 0.2853 0.5834
Au2 0.2853 0.0411 0.0834
Au3 0.3687 0.6313 0.2500
Au4 0.6313 0.3687 0.7500
Au5 0.7147 0.9589 0.9166
Au6 0.9589 0.7147 0.4166

Summary:
The energy of formation is -289.9 meV per atom. As for the density of states at the Fermi level: 1.78 states/eV/f.u. As for the energy above the most stable polymorph in this dataset: 7 meV/atom.

Entry 16:
VASP calculation (GGA-PBE) on crystalline Ta7W3 at its relaxed geometry.

Unit cell a=8.8352 b=8.8352 c=5.4886 alpha=90.00 beta=90.00 gamma=120.00
Positions (direct):
Ta1 0.0000 0.5000 0.0000
Ta2 0.0000 0.5000 0.5000
Ta3 0.1260 0.2520 0.2500
Ta4 0.1260 0.8740 0.2500
Ta5 0.2520 0.1260 0.7500
Ta6 0.3333 0.6667 0.2500
Ta7 0.5000 0.0000 0.0000
Ta8 0.5000 0.0000 0.5000
Ta9 0.5000 0.5000 0.0000
Ta10 0.5000 0.5000 0.5000
Ta11 0.6667 0.3333 0.7500
Ta12 0.7480 0.8740 0.2500
Ta13 0.8740 0.1260 0.7500
Ta14 0.8740 0.7480 0.7500
W1 0.2218 0.4436 0.7500
W2 0.2218 0.7782 0.7500
W3 0.4436 0.2218 0.2500
W4 0.5564 0.7782 0.7500
W5 0.7782 0.2218 0.2500
W6 0.7782 0.5564 0.2500

Summary:
The energy of formation is 200.1 meV per atom. As for the density of states at the Fermi level: 4.13 states/eV/f.u.

Final energy per entry: -9.894, -7.066, -3.786, -5.370, -4.062, -5.728, -5.128, -4.806, -6.584, -4.666, -5.111, -7.726, -4.252, -2.923, -3.978, -11.983 eV per atom